First-principles (GGA-PBE) data for LiEuAgSn after structural relaxation, as listed in Alexandria.

a = 7.091 Å, b = 7.091 Å, c = 7.091 Å
α = 90.00°, β = 90.00°, γ = 90.00°
Fractional coordinates of all 16 atoms:
Li  0.000  0.000  0.000
Li  0.000  0.500  0.500
Li  0.500  0.000  0.500
Li  0.500  0.500  0.000
Eu  0.250  0.250  0.750
Eu  0.250  0.750  0.250
Eu  0.750  0.250  0.250
Eu  0.750  0.750  0.750
Ag  0.000  0.000  0.500
Ag  0.000  0.500  0.000
Ag  0.500  0.000  0.000
Ag  0.500  0.500  0.500
Sn  0.250  0.250  0.250
Sn  0.250  0.750  0.750
Sn  0.750  0.250  0.750
Sn  0.750  0.750  0.250

Total magnetic moment = 7.004 μB/f.u.
Total energy = -5.200 eV per atom
Density = 7.2 g/cm³
Energy of formation from the pure elements = -42 kJ per mole of atoms

=====

First-principles (GGA-PBE) data for LiEuTmAg after structural relaxation, as listed in Alexandria.

a = 7.433 Å, b = 7.433 Å, c = 7.433 Å
α = 90.00°, β = 90.00°, γ = 90.00°
Fractional coordinates of all 16 atoms:
Li  0.000  0.000  0.000
Li  0.000  0.500  0.500
Li  0.500  0.000  0.500
Li  0.500  0.500  0.000
Eu  0.250  0.250  0.750
Eu  0.250  0.750  0.250
Eu  0.750  0.250  0.250
Eu  0.750  0.750  0.750
Tm  0.250  0.250  0.250
Tm  0.250  0.750  0.750
Tm  0.750  0.250  0.750
Tm  0.750  0.750  0.250
Ag  0.000  0.000  0.500
Ag  0.000  0.500  0.000
Ag  0.500  0.000  0.000
Ag  0.500  0.500  0.500

Total magnetic moment = 7.233 μB/f.u.
Total energy = -4.945 eV per atom
Density = 7.0 g/cm³
Energy of formation from the pure elements = -6 kJ per mole of atoms

=====

First-principles (GGA-PBE) data for Eu2LuAg after structural relaxation, as listed in Alexandria.

a = 3.751 Å, b = 3.751 Å, c = 8.966 Å
α = 90.00°, β = 90.00°, γ = 90.00°
Fractional coordinates of all 4 atoms:
Eu  0.000  0.000  0.214
Eu  0.000  0.000  0.786
Lu  0.500  0.500  0.500
Ag  0.500  0.500  0.000

Total magnetic moment = 15.127 μB/f.u.
Total energy = -7.032 eV per atom
Energy relative to the lowest polymorph listed for this composition = 0.000 eV per formula unit
Density = 7.7 g/cm³
Energy of formation from the pure elements = -5 kJ per mole of atoms

=====

First-principles (GGA-PBE) data for Eu2LuAg after structural relaxation, as listed in Alexandria.

a = 3.539 Å, b = 3.539 Å, c = 35.142 Å
α = 90.00°, β = 90.00°, γ = 120.00°
Fractional coordinates of all 12 atoms:
Eu  0.000  0.000  0.096
Eu  0.000  0.000  0.904
Eu  0.333  0.667  0.571
Eu  0.333  0.667  0.762
Eu  0.667  0.333  0.238
Eu  0.667  0.333  0.429
Lu  0.000  0.000  0.000
Lu  0.333  0.667  0.667
Lu  0.667  0.333  0.333
Ag  0.000  0.000  0.500
Ag  0.333  0.667  0.167
Ag  0.667  0.333  0.833

Total magnetic moment = 15.129 μB/f.u.
Total energy = -6.765 eV per atom
Energy relative to the lowest polymorph listed for this composition = 1.068 eV per formula unit
Density = 7.7 g/cm³
Energy of formation from the pure elements = 21 kJ per mole of atoms

=====

First-principles (GGA-PBE) data for EuLuAg2 after structural relaxation, as listed in Alexandria.

a = 3.657 Å, b = 3.657 Å, c = 7.484 Å
α = 90.00°, β = 90.00°, γ = 90.00°
Fractional coordinates of all 4 atoms:
Eu  0.000  0.000  0.000
Lu  0.000  0.000  0.500
Ag  0.500  0.500  0.286
Ag  0.500  0.500  0.714

Total magnetic moment = 7.253 μB/f.u.
Total energy = -5.434 eV per atom
Energy relative to the lowest polymorph listed for this composition = 0.000 eV per formula unit
Density = 9.0 g/cm³
Energy of formation from the pure elements = -30 kJ per mole of atoms

=====

First-principles (GGA-PBE) data for EuLuAg4 after structural relaxation, as listed in Alexandria.

a = 5.742 Å, b = 5.742 Å, c = 5.742 Å
α = 60.00°, β = 60.00°, γ = 60.00°
Fractional coordinates of all 6 atoms:
Eu  0.000  0.000  0.000
Lu  0.750  0.750  0.750
Ag  0.375  0.375  0.375
Ag  0.375  0.375  0.874
Ag  0.375  0.874  0.375
Ag  0.874  0.375  0.375

Total magnetic moment = 7.527 μB/f.u.
Total energy = -4.519 eV per atom
Density = 9.4 g/cm³
Energy of formation from the pure elements = -15 kJ per mole of atoms

=====

First-principles (GGA-PBE) data for EuLuAg2 after structural relaxation, as listed in Alexandria.

a = 5.241 Å, b = 5.241 Å, c = 3.605 Å
α = 90.00°, β = 90.00°, γ = 90.00°
Fractional coordinates of all 4 atoms:
Eu  0.000  0.000  0.000
Lu  0.500  0.500  0.000
Ag  0.000  0.500  0.500
Ag  0.500  0.000  0.500

Total magnetic moment = 7.056 μB/f.u.
Total energy = -5.398 eV per atom
Energy relative to the lowest polymorph listed for this composition = 0.145 eV per formula unit
Density = 9.1 g/cm³
Energy of formation from the pure elements = -26 kJ per mole of atoms

=====

First-principles (GGA-PBE) data for EuLu2Ag after structural relaxation, as listed in Alexandria.

a = 3.472 Å, b = 3.472 Å, c = 33.973 Å
α = 90.00°, β = 90.00°, γ = 120.00°
Fractional coordinates of all 12 atoms:
Eu  0.000  0.000  0.000
Eu  0.333  0.667  0.667
Eu  0.667  0.333  0.333
Lu  0.000  0.000  0.100
Lu  0.000  0.000  0.900
Lu  0.333  0.667  0.567
Lu  0.333  0.667  0.767
Lu  0.667  0.333  0.233
Lu  0.667  0.333  0.433
Ag  0.000  0.000  0.500
Ag  0.333  0.667  0.167
Ag  0.667  0.333  0.833

Total magnetic moment = 7.521 μB/f.u.
Total energy = -5.368 eV per atom
Energy relative to the lowest polymorph listed for this composition = 1.012 eV per formula unit
Density = 8.6 g/cm³
Energy of formation from the pure elements = 17 kJ per mole of atoms